[1]
Here is a relaxed KH2Au2 crystal from Alexandria. Energies are from PBE.

Cell and atoms, written as POSCAR:
```
KH2Au2
1.0
-1.9977 1.9977 5.6998
1.9977 -1.9977 5.6998
1.9977 1.9977 -5.6998
K H Au
1 2 2
Cartesian
0.0000 0.0000 0.0000
1.9977 0.0000 2.8499
0.0000 1.9977 2.8499
0.0000 0.0000 3.2490
0.0000 0.0000 8.1506
```

Properties
Calculated total energy in eV per cell: -13.7



[2]
Here is a relaxed K3H4Au crystal from Alexandria. Energies are from PBE.

Cell and atoms, written as POSCAR:
```
K3H4Au
1.0
8.3755 0.0000 0.0000
0.0000 5.9937 0.0000
0.0000 0.0000 6.0748
K H Au
6 8 2
Cartesian
0.0000 1.4769 0.0000
2.0601 1.5126 2.7904
2.1277 4.4811 5.8278
4.1878 4.5168 3.0374
6.2479 4.4811 5.8278
6.3155 1.5126 2.7904
0.0000 3.1363 4.1154
0.0000 5.8954 4.0652
1.6205 4.4819 2.3420
2.5673 1.5118 5.3793
4.1878 0.0984 1.0279
4.1878 2.8574 1.0780
5.8083 1.5118 5.3793
6.7550 4.4819 2.3420
0.0000 4.4976 2.8843
4.1878 1.4961 5.9217
```

Properties
Calculated total energy in eV per cell: -42.8



[3]
Here is a relaxed K3HAu crystal from Alexandria. Energies are from PBE.

Cell and atoms, written as POSCAR:
```
K3HAu
1.0
9.1315 0.0000 0.0000
0.0000 12.8451 0.0000
0.0000 0.0000 7.2552
K H Au
12 4 4
Cartesian
0.0492 3.2113 1.1576
1.6250 1.1275 4.4962
1.6250 5.2951 4.4962
2.9407 7.5500 0.8686
2.9407 11.7176 0.8686
4.5165 9.6338 4.7852
4.6149 3.2113 2.4700
6.1907 1.1275 6.3866
6.1907 5.2951 6.3866
7.5064 7.5500 2.7590
7.5064 11.7176 2.7590
9.0823 9.6338 6.0976
1.9786 3.2113 2.9526
2.5871 9.6338 6.5802
6.5443 3.2113 0.6751
7.1529 9.6338 4.3027
0.0000 0.0000 0.0000
0.0000 6.4225 0.0000
4.5657 0.0000 3.6276
4.5657 6.4225 3.6276
```

Properties
Calculated total energy in eV per cell: -42.1



[4]
Here is a relaxed K5H4Au crystal from Alexandria. Energies are from PBE.

Cell and atoms, written as POSCAR:
```
K5H4Au
1.0
6.8422 -2.0352 0.0000
6.8422 2.0352 0.0000
-5.0707 0.0000 9.3109
K H Au
5 4 1
Cartesian
0.0000 0.0000 0.0000
-1.3197 0.0000 7.6566
2.1154 0.0000 5.9409
6.4983 0.0000 3.3699
9.9335 0.0000 1.6543
1.2373 0.0000 2.5354
5.0120 0.0000 0.8577
3.6018 0.0000 8.4532
7.3765 0.0000 6.7755
-2.5354 0.0000 4.6554
```

Properties
Calculated total energy in eV per cell: -24.1



[5]
Here is a relaxed K3H5Au crystal from Alexandria. Energies are from PBE.

Cell and atoms, written as POSCAR:
```
K3H5Au
1.0
-3.6880 3.6880 5.9977
3.6880 -3.6880 5.9977
3.6880 3.6880 -5.9977
K H Au
6 10 2
Cartesian
5.0278 1.3398 0.0000
0.0000 0.0000 2.9989
1.3398 2.3482 0.0000
2.3482 1.3398 5.9977
0.0000 0.0000 8.9966
-1.3398 2.3482 5.9977
0.0000 0.0000 0.0000
4.5817 -0.8936 1.8115
2.7944 -0.8936 4.1862
2.7944 0.8936 1.8115
4.5817 0.8936 4.1862
0.0000 0.0000 5.9977
-0.8936 2.7944 1.8115
0.8936 2.7944 4.1862
0.8936 4.5817 1.8115
-0.8936 4.5817 4.1862
3.6880 0.0000 2.9989
0.0000 3.6880 2.9989
```

Properties
Calculated total energy in eV per cell: -47.9



[6]
Here is a relaxed KH5Au crystal from Alexandria. Energies are from PBE.

Cell and atoms, written as POSCAR:
```
KH5Au
1.0
-2.6381 3.5047 2.5977
2.6381 -3.5047 2.5977
2.6381 3.5047 -2.5977
K H Au
1 5 1
Cartesian
0.0000 0.0000 0.0000
2.6381 0.0000 1.0359
1.6473 3.5047 0.0170
0.9908 0.0000 2.6147
0.0000 2.5588 1.4805
0.0000 4.4506 1.4805
0.0000 3.5047 0.0814
```

Properties
Calculated total energy in eV per cell: -20.0



[7]
Here is a relaxed K2H3Au crystal from Alexandria. Energies are from PBE.

Cell and atoms, written as POSCAR:
```
K2H3Au
1.0
0.0000 5.7454 6.1915
3.8645 0.0000 6.1915
3.8645 5.7454 0.0000
K H Au
4 6 2
Cartesian
5.9259 5.7454 6.1915
1.9323 2.8727 3.0958
5.7968 8.6181 9.2873
1.8031 5.7454 6.1915
3.8645 4.3676 1.7340
3.8645 7.1232 1.7340
3.8645 5.7454 4.5500
3.8645 5.7454 7.8331
3.8645 4.3676 10.6490
3.8645 7.1232 10.6490
3.8645 5.7454 2.8642
3.8645 5.7454 9.5189
```

Properties
Calculated total energy in eV per cell: -33.5



[8]
Here is a relaxed K4HAu2 crystal from Alexandria. Energies are from PBE.

Cell and atoms, written as POSCAR:
```
K4HAu2
1.0
6.5293 -2.2615 0.0000
6.5293 2.2615 0.0000
-4.9667 0.0000 7.7281
K H Au
4 1 2
Cartesian
-0.7193 0.0000 2.7520
-0.2170 0.0000 7.1524
8.3090 0.0000 0.5757
8.8112 0.0000 4.9762
0.0000 0.0000 0.0000
3.2619 0.0000 2.6249
4.8300 0.0000 5.1032
```

Properties
Calculated total energy in eV per cell: -15.9



[9]
Here is a relaxed K2H3Au crystal from Alexandria. Energies are from PBE.

Cell and atoms, written as POSCAR:
```
K2H3Au
1.0
5.4390 -3.3819 0.0000
5.4390 3.3819 0.0000
-3.5868 0.0000 6.4711
K H Au
4 6 2
Cartesian
0.7706 2.2694 5.2607
4.7272 2.2694 4.4459
2.5640 -2.2694 2.0252
6.5206 -2.2694 1.2103
4.5423 2.3703 1.6178
3.4002 0.0468 0.4354
1.6068 -0.0468 3.6710
5.6845 0.0468 2.8001
3.8911 -0.0468 6.0356
2.7489 -2.3703 4.8533
4.5423 0.4526 1.6178
2.7489 -0.4526 4.8533
```

Properties
Calculated total energy in eV per cell: -33.6



[10]
Here is a relaxed K3H4Au2 crystal from Alexandria. Energies are from PBE.

Cell and atoms, written as POSCAR:
```
K3H4Au2
1.0
5.9061 -4.7919 0.0000
5.9061 4.7919 0.0000
-0.8281 0.0000 7.2606
K H Au
6 8 4
Cartesian
5.2850 4.4346 5.4455
3.4917 1.0328 6.9279
3.9058 -1.0328 3.2976
7.0783 1.0328 3.9631
7.4923 -1.0328 0.3328
5.6991 -4.4346 1.8152
3.7435 3.0334 1.4767
4.3608 1.6723 4.4398
7.6546 3.0334 2.1536
6.2093 1.6723 6.4511
4.7748 -1.6723 0.8095
3.3295 -3.0334 5.1070
6.6233 -1.6723 2.8208
7.2406 -3.0334 5.7839
3.9760 2.3521 2.9740
7.4222 2.3521 0.6563
3.5619 -2.3521 6.6043
7.0081 -2.3521 4.2866
```

Properties
Calculated total energy in eV per cell: -50.3



[11]
Here is a relaxed K3HAu crystal from Alexandria. Energies are from PBE.

Cell and atoms, written as POSCAR:
```
K3HAu
1.0
5.3609 0.0000 0.0000
0.0000 5.3609 0.0000
0.0000 0.0000 5.3609
K H Au
3 1 1
Cartesian
0.0000 0.0000 2.6805
0.0000 2.6805 0.0000
2.6805 0.0000 0.0000
0.0000 0.0000 0.0000
2.6805 2.6805 2.6805
```

Properties
Calculated total energy in eV per cell: -10.6



[12]
Here is a relaxed KH2Au crystal from Alexandria. Energies are from PBE.

Cell and atoms, written as POSCAR:
```
KH2Au
1.0
12.5789 0.0000 0.0000
0.0000 4.5380 0.0000
0.0000 0.0000 5.5474
K H Au
4 8 4
Cartesian
1.7493 1.1345 0.0477
4.5401 3.4035 2.8214
8.0387 1.1345 2.7260
10.8296 3.4035 5.4997
0.5822 3.4035 1.1044
1.9029 3.4035 4.1414
4.3865 1.1345 1.3677
5.7072 1.1345 3.8781
6.8716 3.4035 1.6693
8.1924 3.4035 4.1797
10.6759 1.1345 1.4060
11.9967 1.1345 4.4430
1.1622 3.4035 2.6523
5.1272 1.1345 5.4260
7.4517 3.4035 0.1214
11.4166 1.1345 2.8951
```

Properties
Calculated total energy in eV per cell: -48.3



[13]
Here is a relaxed K12H5Au3 crystal from Alexandria. Energies are from PBE.

Cell and atoms, written as POSCAR:
```
K12H5Au3
1.0
-8.9064 8.9064 8.9064
8.9064 -8.9064 8.9064
8.9064 8.9064 -8.9064
K H Au
48 20 12
Cartesian
2.6983 -0.5098 0.9467
10.6614 5.3999 -4.9630
11.6047 0.5098 0.9467
10.6614 -3.5065 4.9630
8.3966 -0.9467 2.6983
13.8694 -1.7549 3.5065
0.9467 2.6983 -0.5098
12.4129 3.9434 -1.7549
5.3999 4.9630 -1.7549
7.9597 2.6983 0.5098
-0.5098 0.9467 2.6983
4.9630 -1.7549 5.3999
8.3966 7.9597 -2.6983
4.9630 1.7549 3.5065
5.3999 -4.9630 10.6614
7.9597 -2.6983 8.3966
3.5065 4.9630 1.7549
9.8532 6.2082 0.5098
4.9630 10.6614 -3.5065
8.3966 0.9467 6.2082
2.6983 8.3966 -0.9467
10.6614 3.5065 3.9434
1.7549 3.5065 4.9630
2.6983 0.5098 7.9597
6.2082 8.3966 0.9467
7.1515 5.3999 3.9434
-1.7549 5.3999 4.9630
6.2082 0.5098 9.8532
0.5098 7.9597 2.6983
3.9434 -1.7549 12.4129
-0.9467 2.6983 8.3966
5.3999 3.9434 7.1515
0.9467 11.6047 0.5098
3.5065 13.8694 -1.7549
3.9434 7.1515 5.3999
0.5098 0.9467 11.6047
3.9434 10.6614 3.5065
9.4162 7.9597 6.2082
0.9467 6.2082 8.3966
3.5065 3.9434 10.6614
-3.5065 4.9630 10.6614
7.9597 6.2082 9.4162
-4.9630 10.6614 5.3999
0.5098 9.8532 6.2082
-1.7549 12.4129 3.9434
-2.6983 8.3966 7.9597
-1.7549 3.5065 13.8694
6.2082 9.4162 7.9597
0.0000 0.0000 0.0000
4.4532 4.4532 -4.4532
4.4532 -4.4532 4.4532
8.9064 0.0000 0.0000
13.3596 2.2266 0.0000
8.9064 -4.4532 6.6798
6.6798 8.9064 -4.4532
6.6798 0.0000 4.4532
4.4532 6.6798 0.0000
8.9064 4.4532 2.2266
-4.4532 4.4532 4.4532
0.0000 8.9064 0.0000
0.0000 0.0000 8.9064
4.4532 4.4532 4.4532
0.0000 4.4532 6.6798
4.4532 2.2266 8.9064
2.2266 8.9064 4.4532
2.2266 0.0000 13.3596
0.0000 13.3596 2.2266
-4.4532 6.6798 8.9064
4.4532 2.2266 0.0000
8.9064 4.4532 -2.2266
2.2266 0.0000 4.4532
11.1330 0.0000 4.4532
0.0000 4.4532 2.2266
4.4532 -2.2266 8.9064
4.4532 11.1330 0.0000
8.9064 4.4532 6.6798
-2.2266 8.9064 4.4532
6.6798 8.9064 4.4532
0.0000 4.4532 11.1330
4.4532 6.6798 8.9064
```

Properties
Calculated total energy in eV per cell: -167.2



[14]
Here is a relaxed KH2Au crystal from Alexandria. Energies are from PBE.

Cell and atoms, written as POSCAR:
```
KH2Au
1.0
2.2214 1.2825 5.0732
-2.2214 1.2825 5.0732
0.0000 -2.5650 5.0732
K H Au
1 2 1
Cartesian
0.0000 0.0000 0.0000
0.0000 0.0000 5.9546
0.0000 0.0000 9.2651
0.0000 0.0000 7.6098
```

Properties
Calculated total energy in eV per cell: -12.1



[15]
Here is a relaxed K4HAu2 crystal from Alexandria. Energies are from PBE.

Cell and atoms, written as POSCAR:
```
K4HAu2
1.0
7.7851 0.0000 0.0000
0.0000 7.4425 0.0000
-2.7631 0.0000 8.8408
K H Au
8 2 4
Cartesian
-0.5787 0.0484 2.2104
-0.5787 3.6729 2.2104
2.9962 1.8606 1.0518
1.7364 1.8606 5.2765
3.2856 5.5819 3.5643
2.0258 5.5819 7.7890
5.6007 3.7697 6.6304
5.6007 7.3941 6.6304
1.1188 1.8606 2.8028
3.9033 5.5819 6.0380
0.1787 5.5819 4.9582
1.7481 5.5819 0.4946
3.2740 1.8606 8.3462
4.8433 1.8606 3.8827
```

Properties
Calculated total energy in eV per cell: -31.3



[16]
Here is a relaxed KHAu crystal from Alexandria. Energies are from PBE.

Cell and atoms, written as POSCAR:
```
KHAu
1.0
5.9033 0.0000 0.0000
0.0000 3.8355 0.0000
-0.0294 0.0000 5.9467
K H Au
2 2 2
Cartesian
1.2076 0.0000 1.2318
4.6664 0.0000 4.7149
0.8024 1.9178 5.1306
5.0715 1.9178 0.8161
1.9993 1.9178 3.9187
3.8747 1.9178 2.0279
```

Properties
Calculated total energy in eV per cell: -16.9



[17]
Here is a relaxed KHAu crystal from Alexandria. Energies are from PBE.

Cell and atoms, written as POSCAR:
```
KHAu
1.0
4.3980 0.0000 0.0000
-0.0087 5.1485 0.0000
-2.1625 -0.0299 6.5179
K H Au
2 2 2
Cartesian
0.0025 1.4797 1.7532
2.2244 3.6389 4.7647
0.0219 2.0846 4.3486
2.2049 3.0340 2.1692
0.0303 0.9137 5.5877
2.1966 4.2049 0.9301
```

Properties
Calculated total energy in eV per cell: -17.0



[18]
Here is a relaxed K3H3Au crystal from Alexandria. Energies are from PBE.

Cell and atoms, written as POSCAR:
```
K3H3Au
1.0
7.5308 0.0000 0.0000
0.0000 5.7042 0.0000
-1.4476 0.0000 7.4136
K H Au
6 6 2
Cartesian
0.2076 1.4260 2.3447
2.2207 4.2781 0.6569
1.9754 4.2781 4.6142
4.1078 1.4260 2.7994
3.8625 1.4260 6.7567
5.8756 4.2781 5.0689
-0.3826 4.2781 2.4638
2.4944 1.4260 0.1012
1.7936 1.4260 4.7442
4.2896 4.2781 2.6693
3.5888 4.2781 7.3124
6.4658 1.4260 4.9498
0.3124 1.4260 5.9676
5.7708 4.2781 1.4460
```

Properties
Calculated total energy in eV per cell: -35.2